Record 1
# CaMoSe2 GGA-PBE optimized geometry
data_CaMoSe2
_space_group_name_H-M_alt 'R -3 m'
_space_group_IT_number 166
_space_group_name_Hall '-R 3 2"'
_cell_length_a 4.1834
_cell_length_b 4.1834
_cell_length_c 24.7292
_cell_angle_alpha 90.00
_cell_angle_beta 90.00
_cell_angle_gamma 120.00
loop_
_atom_site_label
_atom_site_type_symbol
_atom_site_fract_x
_atom_site_fract_y
_atom_site_fract_z
Ca1 Ca 0.0000 0.0000 0.0000
Mo1 Mo 0.0000 0.0000 0.5000
Se1 Se 0.0000 0.0000 0.4008
# E above lowest polymorph ... 0.626 eV per atom
# Energy relative to the elements, uncorrected ... -152 meV/atom
# Final energy ... -5.10 eV per atom

Record 2
# LiOsAu GGA-PBE optimized geometry
data_LiOsAu
_space_group_name_H-M_alt 'I 4 m m'
_space_group_IT_number 107
_space_group_name_Hall 'I 4 -2'
_cell_length_a 2.643
_cell_length_b 2.643
_cell_length_c 13.079
_cell_angle_alpha 90.00
_cell_angle_beta 90.00
_cell_angle_gamma 90.00
loop_
_atom_site_label
_atom_site_type_symbol
_atom_site_fract_x
_atom_site_fract_y
_atom_site_fract_z
Li1 Li 0.000 0.000 0.000
Os1 Os 0.000 0.000 0.661
Au1 Au 0.000 0.000 0.336
# E above lowest polymorph ... 0.085 eV per atom
# ΔE_f ... 0.88 eV per formula unit
# Final energy ... -5.18 eV per atom

Record 3
# CaHo2Tm GGA-PBE optimized geometry
data_CaHo2Tm
_space_group_name_H-M_alt 'P 4/m m m'
_space_group_IT_number 123
_space_group_name_Hall '-P 4 2'
_cell_length_a 5.074
_cell_length_b 5.074
_cell_length_c 5.040
_cell_angle_alpha 90.00
_cell_angle_beta 90.00
_cell_angle_gamma 90.00
loop_
_atom_site_label
_atom_site_type_symbol
_atom_site_fract_x
_atom_site_fract_y
_atom_site_fract_z
Ca1 Ca 0.000 0.000 0.000
Ho1 Ho 0.000 0.500 0.500
Tm1 Tm 0.500 0.500 0.000
# E above lowest polymorph ... 0.081 eV per atom
# ΔE_f ... 0.60 eV per formula unit
# Final energy ... -3.76 eV per atom